1.
## Y2HfH (PBE)

Data for Y2HfH after structural relaxation.

Summary:
The value obtained for the spin magnetization is 0.00 μB/f.u. Its offset from the most stable computed form is 80 meV/atom. The calculated total energy is -25.7 eV per cell.

Cell lengths 3.253, 3.253, 8.076 Å; angles 90.00, 90.00, 90.00 degrees
Space group P4/mmm (No. 123)
One atom of each set of equivalent atoms:
Y 0.000 0.000 0.208 (multiplicity 2)
Hf 0.500 0.500 0.500 (multiplicity 1)
H 0.500 0.500 0.000 (multiplicity 1)

2.
## Y2HfH (PBE)

Data for Y2HfH after structural relaxation.

Summary:
The value obtained for the spin magnetization is 0.00 μB/f.u. Its offset from the most stable computed form is 114 meV/atom. The calculated total energy is -76.6 eV per cell.

Cell lengths 3.3278, 3.3278, 27.3194 Å; angles 90.00, 90.00, 120.00 degrees
Space group R-3m (No. 166, hexagonal axes)
One atom of each set of equivalent atoms:
Y 0.0000 0.0000 0.1158 (multiplicity 6)
Hf 0.0000 0.0000 0.0000 (multiplicity 3)
H 0.0000 0.0000 0.5000 (multiplicity 3)